[1]
Below is Pm3SmTh2Sb6 after structural relaxation, with properties calculated at the PBE-GGA level.

The structure belongs to space group C2/m (No. 12); the cell edges are 19.594, 4.500 and 8.982 Å and the angles 90.00°, 103.27° and 90.00°. The inequivalent atoms are Pm at (0.000, 0.000, 0.000), Pm at (0.166, 0.500, 0.334), Sm at (0.000, 0.000, 0.500), Th at (0.165, 0.500, 0.831), Sb at (0.000, 0.500, 0.251), Sb at (0.166, 0.000, 0.583) and Sb at (0.167, 0.000, 0.084).

The value obtained for the calculated total energy is -5.987 eV per atom. The magnetization comes out at 0.00 Bohr magnetons per cell. For the density of states at the Fermi level, the calculation gives 9.59 states/eV/cell.


[2]
Below is NbHRh2 after structural relaxation, with properties calculated at the PBE-GGA level.

The structure belongs to space group P6/mmm (No. 191); the cell edges are 4.2546, 4.2546 and 3.4180 Å and the angles 90.00°, 90.00° and 120.00°. The inequivalent atoms are Nb at (0.0000, 0.0000, 0.0000), H at (0.0000, 0.0000, 0.5000) and Rh at (0.3333, 0.6667, 0.5000).

As for the energy above the most stable polymorph in this dataset: 0.413 eV/atom. The magnetization comes out at 0.00 Bohr magnetons per cell. For the density of states at the Fermi level, the calculation gives 2.86 states/eV/cell.